# 1
A plane-wave DFT calculation with PBE was carried out for a relaxed structure of Ho2Tm8Cd.

abc: 5.464 6.285 9.934
angles: 84.84 105.96 90.00
Sites, in units of the cell vectors:
1 Ho 0.756 0.332 0.512
2 Ho 0.244 0.668 0.488
3 Tm 0.422 0.599 0.844
4 Tm 0.660 0.874 0.321
5 Tm 0.846 0.803 0.692
6 Tm 0.954 0.266 0.909
7 Tm 0.154 0.197 0.308
8 Tm 0.340 0.126 0.679
9 Tm 0.578 0.401 0.156
10 Tm 0.046 0.734 0.091
11 Cd 0.500 0.000 0.000

Values from the calculation:
N(E_F) (states/eV/f.u.): 16.05
Electronic total energy (eV per atom): -4.182

# 2
A plane-wave DFT calculation with PBE was carried out for a relaxed structure of EuHoCd2.

abc: 3.821 3.821 7.687
angles: 90.00 90.00 90.00
Sites, in units of the cell vectors:
1 Eu 0.500 0.500 0.500
2 Ho 0.500 0.500 0.000
3 Cd 0.000 0.000 0.774
4 Cd 0.000 0.000 0.226

Values from the calculation:
N(E_F) (states/eV/f.u.): 8.95
Energy relative to the lowest polymorph listed for this composition (meV/atom): 0.0

What did the first record say?
A plane-wave DFT calculation with PBE was carried out for a relaxed structure of Ho2Tm8Cd.

abc: 5.464 6.285 9.934
angles: 84.84 105.96 90.00
Sites, in units of the cell vectors:
1 Ho 0.756 0.332 0.512
2 Ho 0.244 0.668 0.488
3 Tm 0.422 0.599 0.844
4 Tm 0.660 0.874 0.321
5 Tm 0.846 0.803 0.692
6 Tm 0.954 0.266 0.909
7 Tm 0.154 0.197 0.308
8 Tm 0.340 0.126 0.679
9 Tm 0.578 0.401 0.156
10 Tm 0.046 0.734 0.091
11 Cd 0.500 0.000 0.000

Values from the calculation:
N(E_F) (states/eV/f.u.): 16.05
Electronic total energy (eV per atom): -4.182